Entry 1:
Below is crystalline Tb8TmTl2 at its relaxed geometry, with properties calculated at the PBE-GGA level.

abc: 8.8287 8.8287 5.6038
angles: 101.87 101.87 119.54
Element x y z (fractional)
Tb 0.0950 0.3208 0.6172
Tb 0.2163 0.7837 0.0000
Tb 0.3208 0.0950 0.6172
Tb 0.4005 0.4005 0.2029
Tb 0.5995 0.5995 0.7971
Tb 0.6792 0.9050 0.3828
Tb 0.7837 0.2163 0.0000
Tb 0.9050 0.6792 0.3828
Tm 0.0000 0.0000 0.0000
Tl 0.3061 0.6939 0.5000
Tl 0.6939 0.3061 0.5000

Output
- calculated total energy (eV per atom) = -4.21
- E_form (eV per atom) = -0.0071
- total magnetization (μB/cell) = 0.00

Entry 2:
Below is crystalline Ac3AsO6F2 at its relaxed geometry, with properties calculated at the PBE-GGA level.

abc: 6.9032 6.9032 5.2683
angles: 92.90 92.90 59.06
Element x y z (fractional)
Ac 0.0000 0.0000 0.0000
Ac 0.0000 0.5000 0.5000
Ac 0.5000 0.0000 0.5000
As 0.5000 0.5000 0.5000
O 0.2234 0.6556 0.7018
O 0.3444 0.7766 0.2982
O 0.3628 0.3628 0.3091
O 0.6372 0.6372 0.6909
O 0.6556 0.2234 0.7018
O 0.7766 0.3444 0.2982
F 0.1846 0.1846 0.8121
F 0.8154 0.8154 0.1879

Output
- calculated total energy (eV per atom) = -6.79
- total magnetization (μB/cell) = 0.00
- uncorrected formation energy (kJ/mol of atoms) = -249.0

Calculated volume
In order: 31.5; 17.9
Unit: Å³ per atom